Entry 1:
A relaxed Y2NbCo crystal, computed with PBE.

Computed properties:
* energy of formation from the pure elements: 361.3 meV/atom
* theoretical density: 6.2 g/cm3
* distance to the lowest polymorph of the same formula: 0 meV per atom

Unit cell a=7.0612 b=7.0612 c=7.0612 alpha=90.00 beta=90.00 gamma=90.00
Space group Fm-3m (No. 225)
Inequivalent atoms, fractional coordinates:
1 Y 0.2500 0.2500 0.2500 [8 per cell]
2 Nb 0.0000 0.0000 0.0000 [4 per cell]
3 Co 0.0000 0.0000 0.5000 [4 per cell]

***

Entry 2:
A relaxed Pm3Tm3Sn2 crystal, computed with PBE.

Computed properties:
* energy of formation from the pure elements: -278.0 meV/atom
* theoretical density: 7.9 g/cm3

Unit cell a=4.5686 b=11.6371 c=18.5318 alpha=90.00 beta=90.00 gamma=90.00
Space group Cmcm (No. 63)
Inequivalent atoms, fractional coordinates:
1 Pm 0.0000 0.0370 0.2500 [4 per cell]
2 Pm 0.0000 0.1455 0.5316 [8 per cell]
3 Tm 0.0000 0.2443 0.7500 [4 per cell]
4 Tm 0.0000 0.4473 0.6061 [8 per cell]
5 Sn 0.0000 0.2544 0.1365 [8 per cell]

***

Entry 3:
A relaxed Ca3CrCl8 crystal, computed with PBE.

Computed properties:
* theoretical density: 2.1 g/cm3
* energy relative to the elements, uncorrected: -1995 meV per atom

Unit cell a=7.7072 b=11.7641 c=7.8073 alpha=90.00 beta=90.00 gamma=90.00
Space group C222 (No. 21)
Inequivalent atoms, fractional coordinates:
1 Ca 0.0000 0.0000 0.0000 [2 per cell]
2 Ca 0.2500 0.2500 0.7471 [4 per cell]
3 Cr 0.0000 0.0000 0.5000 [2 per cell]
4 Cl 0.0000 0.2082 0.5000 [4 per cell]
5 Cl 0.0000 0.2330 0.0000 [4 per cell]
6 Cl 0.2351 0.0165 0.7362 [8 per cell]

***

Entry 4:
A relaxed ZnRe3B crystal, computed with PBE.

Computed properties:
* energy of formation from the pure elements: 450.4 meV/atom
* theoretical density: 15.0 g/cm3
* distance to the lowest polymorph of the same formula: 0 meV per atom

Unit cell a=4.1229 b=4.1229 c=4.1229 alpha=90.00 beta=90.00 gamma=90.00
Space group Pm-3m (No. 221)
Inequivalent atoms, fractional coordinates:
1 Zn 0.0000 0.0000 0.0000 [1 per cell]
2 Re 0.0000 0.5000 0.5000 [3 per cell]
3 B 0.5000 0.5000 0.5000 [1 per cell]

***

Entry 5:
A relaxed Cu3GeAu crystal, computed with PBE.

Computed properties:
* energy of formation from the pure elements: 32.4 meV/atom
* theoretical density: 10.7 g/cm3
* distance to the lowest polymorph of the same formula: 0 meV per atom

Unit cell a=3.9109 b=5.5240 c=6.8973 alpha=90.00 beta=106.25 gamma=90.00
Space group P2_1/m (No. 11)
Inequivalent atoms, fractional coordinates:
1 Cu 0.1164 0.0027 0.2333 [4 per cell]
2 Cu 0.2989 0.7500 0.5976 [2 per cell]
3 Ge 0.3057 0.2500 0.6140 [2 per cell]
4 Au 0.4930 0.7500 0.9894 [2 per cell]

***

Entry 6:
A relaxed Tm8CdBi2 crystal, computed with PBE.

Computed properties:
* energy of formation from the pure elements: -206.1 meV/atom
* theoretical density: 9.7 g/cm3

Unit cell a=16.3881 b=6.4360 c=6.1460 alpha=90.00 beta=93.09 gamma=90.00
Space group C2/m (No. 12)
Inequivalent atoms, fractional coordinates:
1 Tm 0.0787 0.0000 0.3731 [4 per cell]
2 Tm 0.0930 0.2456 0.8653 [8 per cell]
3 Tm 0.1948 0.5000 0.3496 [4 per cell]
4 Cd 0.0000 0.5000 0.5000 [2 per cell]
5 Bi 0.2395 0.0000 0.1540 [4 per cell]

***

The lowest theoretical density belongs to which entry? Ca3CrCl8

***

Copy entry 4 word for word.
A relaxed ZnRe3B crystal, computed with PBE.

Computed properties:
* energy of formation from the pure elements: 450.4 meV/atom
* theoretical density: 15.0 g/cm3
* distance to the lowest polymorph of the same formula: 0 meV per atom

Unit cell a=4.1229 b=4.1229 c=4.1229 alpha=90.00 beta=90.00 gamma=90.00
Space group Pm-3m (No. 221)
Inequivalent atoms, fractional coordinates:
1 Zn 0.0000 0.0000 0.0000 [1 per cell]
2 Re 0.0000 0.5000 0.5000 [3 per cell]
3 B 0.5000 0.5000 0.5000 [1 per cell]

***

Among the records above, which one has the lowest theoretical density? Ca3CrCl8

***

Which formula does entry 5 have? Cu3GeAu